! GGA-PBE MgSe2, relaxed; values from VASP
&SYSTEM
  ibrav = 0, nat = 6, ntyp = 2
/
ATOMIC_SPECIES
Mg 24.30 Mg.upf
Se 78.96 Se.upf
ATOMIC_POSITIONS crystal
Mg 0.500 0.500 0.000
Mg 0.000 0.000 0.500
Se 0.782 0.782 0.000
Se 0.218 0.218 0.000
Se 0.282 0.718 0.500
Se 0.718 0.282 0.500
CELL_PARAMETERS angstrom
-5.854 -2.460 3.126
2.170 -6.636 -1.160
1.409 -0.001 2.638
! Crystal system: tetragonal
! Symmetry: P4_2/mnm
! Energy relative to the elements, uncorrected in eV/atom: -0.3511
! Density of states at the Fermi level in states/eV per cell: 5.87

=====

! GGA-PBE MgSe2, relaxed; values from VASP
&SYSTEM
  ibrav = 0, nat = 6, ntyp = 2
/
ATOMIC_SPECIES
Mg 24.30 Mg.upf
Se 78.96 Se.upf
ATOMIC_POSITIONS crystal
Mg 0.500 0.500 0.500
Mg 0.750 0.750 0.750
Se 0.625 0.125 0.125
Se 0.125 0.625 0.125
Se 0.125 0.125 0.625
Se 0.125 0.125 0.125
CELL_PARAMETERS angstrom
-4.321 -2.120 -3.242
-5.515 0.961 1.529
-3.299 3.592 -3.145
! Crystal system: cubic
! Symmetry: Fd-3m
! Energy relative to the elements, uncorrected in eV/atom: 0.2141
! Density of states at the Fermi level in states/eV per cell: 3.98

=====

! GGA-PBE Mg4Se, relaxed; values from VASP
&SYSTEM
  ibrav = 0, nat = 5, ntyp = 2
/
ATOMIC_SPECIES
Mg 24.30 Mg.upf
Se 78.96 Se.upf
ATOMIC_POSITIONS crystal
Mg 0.667 0.333 0.857
Mg 0.333 0.667 0.143
Mg 0.667 0.333 0.603
Mg 0.333 0.667 0.397
Se 0.000 0.000 0.000
CELL_PARAMETERS angstrom
1.835 -3.179 0.000
1.835 3.179 0.000
0.000 0.000 11.481
! Crystal system: trigonal
! Energy relative to the lowest polymorph listed for this composition in meV/atom: 78.1
! Symmetry: P-3m1
! Energy relative to the elements, uncorrected in eV/atom: -0.1861
! Density of states at the Fermi level in states/eV per cell: 2.96

=====

! GGA-PBE MgSe2, relaxed; values from VASP
&SYSTEM
  ibrav = 0, nat = 3, ntyp = 2
/
ATOMIC_SPECIES
Mg 24.30 Mg.upf
Se 78.96 Se.upf
ATOMIC_POSITIONS crystal
Mg 0.000 0.000 0.000
Se 0.750 0.750 0.750
Se 0.250 0.250 0.250
CELL_PARAMETERS angstrom
-3.192 3.300 0.472
-4.481 -1.105 -0.009
-2.457 0.293 3.896
! Crystal system: cubic
! Symmetry: Fm-3m
! Energy relative to the elements, uncorrected in eV/atom: -0.4330
! Density of states at the Fermi level in states/eV per cell: 2.00

=====

! GGA-PBE Mg3Se, relaxed; values from VASP
&SYSTEM
  ibrav = 0, nat = 16, ntyp = 2
/
ATOMIC_SPECIES
Mg 24.30 Mg.upf
Se 78.96 Se.upf
ATOMIC_POSITIONS crystal
Mg 0.240 0.992 0.750
Mg 0.740 0.508 0.250
Mg 0.260 0.492 0.750
Mg 0.760 0.008 0.250
Mg 0.589 0.275 0.954
Mg 0.089 0.225 0.046
Mg 0.911 0.775 0.546
Mg 0.411 0.725 0.454
Mg 0.411 0.725 0.046
Mg 0.911 0.775 0.954
Mg 0.089 0.225 0.454
Mg 0.589 0.275 0.546
Se 0.623 0.949 0.750
Se 0.123 0.551 0.250
Se 0.877 0.449 0.750
Se 0.377 0.051 0.250
CELL_PARAMETERS angstrom
6.859 0.000 0.000
0.000 6.488 0.000
0.000 0.000 8.341
! Crystal system: orthorhombic
! Symmetry: Pnma
! Energy relative to the elements, uncorrected in eV/atom: -0.3864
! Density of states at the Fermi level in states/eV per cell: 3.10

=====

! GGA-PBE MgSe2, relaxed; values from VASP
&SYSTEM
  ibrav = 0, nat = 6, ntyp = 2
/
ATOMIC_SPECIES
Mg 24.30 Mg.upf
Se 78.96 Se.upf
ATOMIC_POSITIONS crystal
Mg 0.668 0.332 0.000
Mg 0.332 0.668 0.000
Se 0.000 0.000 0.000
Se 0.500 0.500 0.500
Se 0.832 0.168 0.500
Se 0.168 0.832 0.500
CELL_PARAMETERS angstrom
1.868 -14.279 0.000
1.868 14.279 0.000
0.000 0.000 3.681
! Crystal system: orthorhombic
! Symmetry: Cmmm
! Energy relative to the elements, uncorrected in eV/atom: -0.5187
! Density of states at the Fermi level in states/eV per cell: 2.56

=====

! GGA-PBE MgSe2, relaxed; values from VASP
&SYSTEM
  ibrav = 0, nat = 6, ntyp = 2
/
ATOMIC_SPECIES
Mg 24.30 Mg.upf
Se 78.96 Se.upf
ATOMIC_POSITIONS crystal
Mg 0.000 0.000 0.000
Mg 0.500 0.500 0.500
Se 0.000 0.184 0.609
Se 0.000 0.816 0.391
Se 0.500 0.684 0.891
Se 0.500 0.316 0.109
CELL_PARAMETERS angstrom
4.143 0.000 0.000
0.000 5.274 0.000
0.000 0.000 6.534
! Crystal system: orthorhombic
! Symmetry: Pnnm
! Energy relative to the elements, uncorrected in eV/atom: -0.7992

=====

! GGA-PBE Mg2Se, relaxed; values from VASP
&SYSTEM
  ibrav = 0, nat = 6, ntyp = 2
/
ATOMIC_SPECIES
Mg 24.30 Mg.upf
Se 78.96 Se.upf
ATOMIC_POSITIONS crystal
Mg 0.791 0.791 0.000
Mg 0.209 0.209 0.000
Mg 0.291 0.709 0.500
Mg 0.709 0.291 0.500
Se 0.500 0.500 0.000
Se 0.000 0.000 0.500
CELL_PARAMETERS angstrom
-2.852 -0.710 5.726
4.173 -4.665 1.500
2.426 2.665 1.538
! Crystal system: tetragonal
! Symmetry: P4_2/mnm
! Energy relative to the elements, uncorrected in eV/atom: -0.3130
! Density of states at the Fermi level in states/eV per cell: 1.97

=====

! GGA-PBE Mg2Se, relaxed; values from VASP
&SYSTEM
  ibrav = 0, nat = 3, ntyp = 2
/
ATOMIC_SPECIES
Mg 24.30 Mg.upf
Se 78.96 Se.upf
ATOMIC_POSITIONS crystal
Mg 0.762 0.762 0.762
Mg 0.572 0.572 0.572
Se 0.000 0.000 0.000
CELL_PARAMETERS angstrom
6.195 0.000 0.000
5.051 3.587 0.000
5.051 1.611 3.205
! Crystal system: trigonal
! Symmetry: R3m
! Energy relative to the elements, uncorrected in eV/atom: -0.6370
! Density of states at the Fermi level in states/eV per cell: 0.11

=====

! GGA-PBE MgSe3, relaxed; values from VASP
&SYSTEM
  ibrav = 0, nat = 4, ntyp = 2
/
ATOMIC_SPECIES
Mg 24.30 Mg.upf
Se 78.96 Se.upf
ATOMIC_POSITIONS crystal
Mg 0.000 0.000 0.000
Se 0.000 0.000 0.500
Se 0.667 0.333 0.221
Se 0.667 0.333 0.779
CELL_PARAMETERS angstrom
-2.038 2.971 1.248
1.289 -2.601 2.472
6.064 3.806 0.841
! Crystal system: hexagonal
! Symmetry: P-6m2
! Energy relative to the elements, uncorrected in eV/atom: -0.1302
! Density of states at the Fermi level in states/eV per cell: 3.89

=====

! GGA-PBE Mg2Se, relaxed; values from VASP
&SYSTEM
  ibrav = 0, nat = 3, ntyp = 2
/
ATOMIC_SPECIES
Mg 24.30 Mg.upf
Se 78.96 Se.upf
ATOMIC_POSITIONS crystal
Mg 0.239 0.239 0.239
Mg 0.761 0.761 0.761
Se 0.000 0.000 0.000
CELL_PARAMETERS angstrom
6.186 0.000 0.000
5.038 3.589 0.000
5.038 1.611 3.207
! Crystal system: trigonal
! Symmetry: R-3m
! Energy relative to the elements, uncorrected in eV/atom: -0.6174
! Density of states at the Fermi level in states/eV per cell: 0.81

=====

! GGA-PBE MgSe2, relaxed; values from VASP
&SYSTEM
  ibrav = 0, nat = 6, ntyp = 2
/
ATOMIC_SPECIES
Mg 24.30 Mg.upf
Se 78.96 Se.upf
ATOMIC_POSITIONS crystal
Mg 0.836 0.164 0.750
Mg 0.164 0.836 0.250
Se 0.193 0.807 0.750
Se 0.483 0.517 0.750
Se 0.517 0.483 0.250
Se 0.807 0.193 0.250
CELL_PARAMETERS angstrom
1.563 -7.839 0.000
1.563 7.839 0.000
0.000 0.000 5.355
! Crystal system: orthorhombic
! Symmetry: Cmcm
! Energy relative to the elements, uncorrected in eV/atom: -0.5758
! Density of states at the Fermi level in states/eV per cell: 1.96

=====

! GGA-PBE Mg5Se3, relaxed; values from VASP
&SYSTEM
  ibrav = 0, nat = 8, ntyp = 2
/
ATOMIC_SPECIES
Mg 24.30 Mg.upf
Se 78.96 Se.upf
ATOMIC_POSITIONS crystal
Mg 0.000 0.000 0.000
Mg 0.000 0.000 0.221
Mg 0.000 0.000 0.779
Mg 0.500 0.500 0.390
Mg 0.500 0.500 0.610
Se 0.000 0.000 0.500
Se 0.500 0.500 0.119
Se 0.500 0.500 0.881
CELL_PARAMETERS angstrom
3.459 0.000 0.000
0.000 3.459 0.000
0.000 0.000 14.578
! Crystal system: tetragonal
! Energy relative to the lowest polymorph listed for this composition in meV/atom: 219.0
! Symmetry: P4/mmm
! Energy relative to the elements, uncorrected in eV/atom: -0.5073
! Density of states at the Fermi level in states/eV per cell: 2.66

=====

! GGA-PBE Mg2Se, relaxed; values from VASP
&SYSTEM
  ibrav = 0, nat = 3, ntyp = 2
/
ATOMIC_SPECIES
Mg 24.30 Mg.upf
Se 78.96 Se.upf
ATOMIC_POSITIONS crystal
Mg 0.333 0.667 0.500
Mg 0.667 0.333 0.500
Se 0.000 0.000 0.000
CELL_PARAMETERS angstrom
-3.895 -2.700 -0.627
3.179 0.467 -3.539
1.765 -2.827 1.213
! Crystal system: hexagonal
! Symmetry: P6/mmm
! Energy relative to the elements, uncorrected in eV/atom: 0.0308
! Density of states at the Fermi level in states/eV per cell: 1.19

=====

! GGA-PBE MgSe3, relaxed; values from VASP
&SYSTEM
  ibrav = 0, nat = 4, ntyp = 2
/
ATOMIC_SPECIES
Mg 24.30 Mg.upf
Se 78.96 Se.upf
ATOMIC_POSITIONS crystal
Mg 0.000 0.000 0.000
Se 0.500 0.000 0.000
Se 0.000 0.500 0.000
Se 0.000 0.000 0.500
CELL_PARAMETERS angstrom
5.105 0.000 0.000
0.000 5.105 0.000
0.000 0.000 5.105
! Crystal system: cubic
! Symmetry: Pm-3m
! Energy relative to the elements, uncorrected in eV/atom: 0.2690
! Density of states at the Fermi level in states/eV per cell: 6.16

=====

! GGA-PBE Mg3Se, relaxed; values from VASP
&SYSTEM
  ibrav = 0, nat = 4, ntyp = 2
/
ATOMIC_SPECIES
Mg 24.30 Mg.upf
Se 78.96 Se.upf
ATOMIC_POSITIONS crystal
Mg 0.000 0.083 0.999
Mg 0.500 0.750 0.750
Mg 0.000 0.417 0.501
Se 0.500 0.250 0.250
CELL_PARAMETERS angstrom
-0.674 3.624 -0.982
-1.155 0.754 3.576
5.013 1.982 3.876
! Crystal system: monoclinic
! Symmetry: P2/m
! Energy relative to the elements, uncorrected in eV/atom: -0.3266
! Density of states at the Fermi level in states/eV per cell: 1.19

=====

! GGA-PBE MgSe2, relaxed; values from VASP
&SYSTEM
  ibrav = 0, nat = 12, ntyp = 2
/
ATOMIC_SPECIES
Mg 24.30 Mg.upf
Se 78.96 Se.upf
ATOMIC_POSITIONS crystal
Mg 0.333 0.667 0.916
Mg 0.667 0.333 0.416
Mg 0.667 0.333 0.084
Mg 0.333 0.667 0.584
Se 0.000 0.000 0.000
Se 0.000 0.000 0.500
Se 0.836 0.671 0.250
Se 0.164 0.329 0.750
Se 0.329 0.164 0.250
Se 0.836 0.164 0.250
Se 0.164 0.836 0.750
Se 0.671 0.836 0.750
CELL_PARAMETERS angstrom
-0.586 -0.874 5.146
-0.163 -4.016 -3.381
14.114 -1.684 1.320
! Crystal system: hexagonal
! Symmetry: P6_3/mmc
! Energy relative to the elements, uncorrected in eV/atom: -0.1365
! Density of states at the Fermi level in states/eV per cell: 8.71

=====

! GGA-PBE Mg2Se, relaxed; values from VASP
&SYSTEM
  ibrav = 0, nat = 9, ntyp = 2
/
ATOMIC_SPECIES
Mg 24.30 Mg.upf
Se 78.96 Se.upf
ATOMIC_POSITIONS crystal
Mg 0.269 0.000 0.000
Mg 0.000 0.269 0.000
Mg 0.731 0.731 0.000
Mg 0.593 0.000 0.500
Mg 0.000 0.593 0.500
Mg 0.407 0.407 0.500
Se 0.333 0.667 0.000
Se 0.667 0.333 0.000
Se 0.000 0.000 0.500
CELL_PARAMETERS angstrom
3.845 -6.660 0.000
3.845 6.660 0.000
0.000 0.000 3.924
! Crystal system: hexagonal
! Symmetry: P-62m
! Energy relative to the elements, uncorrected in eV/atom: -0.3743
! Density of states at the Fermi level in states/eV per cell: 3.89

=====

! GGA-PBE MgSe2, relaxed; values from VASP
&SYSTEM
  ibrav = 0, nat = 3, ntyp = 2
/
ATOMIC_SPECIES
Mg 24.30 Mg.upf
Se 78.96 Se.upf
ATOMIC_POSITIONS crystal
Mg 0.000 0.000 0.000
Se 0.257 0.257 0.257
Se 0.743 0.743 0.743
CELL_PARAMETERS angstrom
-4.978 1.937 6.646
-6.112 -1.083 5.845
-3.420 -0.775 7.772
! Crystal system: trigonal
! Symmetry: R-3m
! Energy relative to the elements, uncorrected in eV/atom: -0.3918
! Density of states at the Fermi level in states/eV per cell: 2.47

=====

! GGA-PBE MgSe2, relaxed; values from VASP
&SYSTEM
  ibrav = 0, nat = 6, ntyp = 2
/
ATOMIC_SPECIES
Mg 24.30 Mg.upf
Se 78.96 Se.upf
ATOMIC_POSITIONS crystal
Mg 0.333 0.667 0.250
Mg 0.667 0.333 0.750
Se 0.000 0.000 0.000
Se 0.000 0.000 0.500
Se 0.333 0.667 0.750
Se 0.667 0.333 0.250
CELL_PARAMETERS angstrom
-4.795 1.495 -1.936
3.609 -2.323 -3.249
-1.930 -4.656 1.184
! Crystal system: hexagonal
! Symmetry: P6_3/mmc
! Energy relative to the elements, uncorrected in eV/atom: -0.2813
! Density of states at the Fermi level in states/eV per cell: 4.30